1.
A crystal of In2HgSb relaxed with PBEsol. Source: the Alexandria database, functional SCAN.

abc: 5.265 5.265 5.265
angles: 60.00 60.00 60.00
Positions (direct):
In  0.250  0.250  0.250
In  0.750  0.750  0.750
Hg  0.000  0.000  0.000
Sb  0.500  0.500  0.500

Properties
The spin magnetization comes out at 0.00 μB per formula unit. As for the density of states at the Fermi level: 1.34 states/eV per cell. Its uncorrected formation energy is 3.09 kJ per mole of atoms. The calculation puts the electronic total energy at -43.02 eV per atom. Its space group is Fm-3m.


2.
A crystal of POsN2 relaxed with PBEsol. Source: the Alexandria database, functional SCAN.

abc: 4.427 5.123 4.427
angles: 64.40 90.00 115.60
Positions (direct):
Os  0.750  0.500  0.750
Os  0.000  0.000  0.000
N  0.875  0.250  0.545
N  0.375  0.250  0.205
N  0.205  0.750  0.875
N  0.545  0.750  0.375
P  0.250  0.500  0.250
P  0.500  0.000  0.500

Properties
The spin magnetization comes out at 0.00 μB per formula unit. As for the density of states at the Fermi level: 1.49 states/eV per cell. Its uncorrected formation energy is 47.51 kJ per mole of atoms. The calculation puts the electronic total energy at -24.72 eV per atom. Its space group is I-42d.


3.
A crystal of SrLaPt2 relaxed with PBEsol. Source: the Alexandria database, functional SCAN.

abc: 3.998 4.469 5.882
angles: 90.00 109.87 90.00
Positions (direct):
La  0.760  0.500  0.520
Sr  0.484  0.000  0.969
Pt  0.047  0.500  0.093
Pt  0.209  0.000  0.418

Properties
The spin magnetization comes out at 0.00 μB per formula unit. As for the density of states at the Fermi level: 1.98 states/eV per cell. The calculation puts the electronic total energy at -52.59 eV per atom. Its space group is Amm2.


4.
A crystal of TaMo relaxed with PBEsol. Source: the Alexandria database, functional SCAN.

abc: 4.509 4.509 7.176
angles: 108.31 108.31 90.00
Positions (direct):
Mo  0.000  0.500  0.000
Mo  0.376  0.376  0.752
Mo  0.500  0.000  0.000
Mo  0.624  0.624  0.248
Ta  0.750  0.250  0.500
Ta  0.119  0.119  0.238
Ta  0.881  0.881  0.762
Ta  0.250  0.750  0.500

Properties
The spin magnetization comes out at 0.00 μB per formula unit. As for the density of states at the Fermi level: 4.40 states/eV per cell. The calculation puts the electronic total energy at -50.88 eV per atom. Its space group is I4/mmm.


5.
A crystal of NdSbPt relaxed with PBEsol. Source: the Alexandria database, functional SCAN.

abc: 4.545 4.545 7.813
angles: 90.00 90.00 120.00
Positions (direct):
Pt  0.667  0.333  0.702
Pt  0.333  0.667  0.202
Nd  0.000  0.000  0.505
Nd  0.000  0.000  0.005
Sb  0.667  0.333  0.269
Sb  0.333  0.667  0.769

Properties
The spin magnetization comes out at 0.00 μB per formula unit. As for the density of states at the Fermi level: 0.90 states/eV per cell. Its uncorrected formation energy is -128.78 kJ per mole of atoms. The calculation puts the electronic total energy at -51.68 eV per atom. Its space group is P6_3mc.


6.
A crystal of Be2RuBr relaxed with PBEsol. Source: the Alexandria database, functional SCAN.

abc: 3.044 3.044 5.881
angles: 90.00 90.00 89.95
Positions (direct):
Be  0.500  0.500  0.792
Be  0.000  0.000  0.998
Ru  0.500  0.500  0.147
Br  0.000  0.000  0.563

Properties
The spin magnetization comes out at 0.00 μB per formula unit. As for the density of states at the Fermi level: 1.81 states/eV per cell. Its uncorrected formation energy is 25.82 kJ per mole of atoms. The calculation puts the electronic total energy at -15.48 eV per atom. Its space group is P4mm.


7.
A crystal of Ca2NiSe relaxed with PBEsol. Source: the Alexandria database, functional SCAN.

abc: 4.072 4.072 5.770
angles: 90.00 90.00 90.00
Positions (direct):
Ni  0.000  0.000  0.376
Ca  0.500  0.500  0.374
Ca  0.000  0.000  0.876
Se  0.500  0.500  0.874

Properties
The spin magnetization comes out at 0.02 μB per formula unit. As for the density of states at the Fermi level: 0.50 states/eV per cell. Its uncorrected formation energy is -79.70 kJ per mole of atoms. The calculation puts the electronic total energy at -14.72 eV per atom. Its space group is P4mm.


8.
A crystal of TcTeSe2 relaxed with PBEsol. Source: the Alexandria database, functional SCAN.

abc: 3.913 4.822 5.232
angles: 117.36 90.00 90.00
Positions (direct):
Tc  0.000  0.504  0.633
Te  0.500  0.310  0.245
Se  0.500  0.672  0.970
Se  0.000  0.014  0.653

Properties
The spin magnetization comes out at 0.00 μB per formula unit. As for the density of states at the Fermi level: 2.16 states/eV per cell. Its uncorrected formation energy is -7.97 kJ per mole of atoms. The calculation puts the electronic total energy at -28.20 eV per atom. Its space group is Pm.